Entry from the Open Quantum Materials Database: a relaxed PaAgCl6 crystal (PBE).

Computed properties:
space-group type: C2/m

Unit cell a=6.774 b=6.774 c=6.590 alpha=99.87 beta=99.87 gamma=121.44
Positions (direct):
Pa1 0.000 0.000 0.000
Ag1 0.500 0.500 0.500
Cl1 0.081 0.393 0.241
Cl2 0.236 0.236 0.768
Cl3 0.393 0.081 0.241
Cl4 0.607 0.919 0.759
Cl5 0.764 0.764 0.232
Cl6 0.919 0.607 0.759

=====

Entry from the Open Quantum Materials Database: a relaxed AgPbCl6 crystal (PBE).

Computed properties:
space-group type: F-43m

Unit cell a=6.976 b=6.976 c=6.976 alpha=60.00 beta=60.00 gamma=60.00
Positions (direct):
Ag1 0.000 0.000 0.000
Pb1 0.750 0.750 0.750
Cl1 0.007 0.007 0.493
Cl2 0.007 0.493 0.007
Cl3 0.007 0.493 0.493
Cl4 0.493 0.007 0.007
Cl5 0.493 0.007 0.493
Cl6 0.493 0.493 0.007

=====

Entry from the Open Quantum Materials Database: a relaxed AgPbSeCl crystal (PBE).

Computed properties:
space-group type: P4/nmm

Unit cell a=4.501 b=4.501 c=9.599 alpha=90.00 beta=90.00 gamma=90.00
Positions (direct):
Ag1 0.250 0.750 0.000
Ag2 0.750 0.250 0.000
Pb1 0.250 0.250 0.301
Pb2 0.750 0.750 0.699
Se1 0.250 0.250 0.824
Se2 0.750 0.750 0.176
Cl1 0.250 0.750 0.500
Cl2 0.750 0.250 0.500

=====

Entry from the Open Quantum Materials Database: a relaxed Tl2AgPbCl6 crystal (PBE).

Computed properties:
space-group type: Fm-3m

Unit cell a=7.539 b=7.539 c=7.539 alpha=60.00 beta=60.00 gamma=60.00
Positions (direct):
Tl1 0.250 0.250 0.250
Tl2 0.750 0.750 0.750
Ag1 0.000 0.000 0.000
Pb1 0.500 0.500 0.500
Cl1 0.244 0.244 0.756
Cl2 0.244 0.756 0.244
Cl3 0.244 0.756 0.756
Cl4 0.756 0.244 0.244
Cl5 0.756 0.244 0.756
Cl6 0.756 0.756 0.244

=====

Entry from the Open Quantum Materials Database: a relaxed AgPtCl3 crystal (PBE).

Computed properties:
space-group type: Pnma
energy above the most stable polymorph in this dataset: 0.0130 eV/atom

Unit cell a=6.787 b=9.514 c=6.554 alpha=90.00 beta=90.00 gamma=90.00
Positions (direct):
Ag1 0.061 0.250 0.018
Ag2 0.439 0.750 0.518
Ag3 0.561 0.250 0.482
Ag4 0.939 0.750 0.982
Pt1 0.000 0.000 0.500
Pt2 0.000 0.500 0.500
Pt3 0.500 0.000 0.000
Pt4 0.500 0.500 0.000
Cl1 0.038 0.750 0.386
Cl2 0.193 0.559 0.806
Cl3 0.193 0.941 0.806
Cl4 0.307 0.059 0.306
Cl5 0.307 0.441 0.306
Cl6 0.462 0.250 0.886
Cl7 0.538 0.750 0.114
Cl8 0.693 0.559 0.694
Cl9 0.693 0.941 0.694
Cl10 0.807 0.059 0.194
Cl11 0.807 0.441 0.194
Cl12 0.962 0.250 0.614

=====

Entry from the Open Quantum Materials Database: a relaxed AgPtCl3 crystal (PBE).

Computed properties:
space-group type: Pm-3m
energy above the most stable polymorph in this dataset: 0.8387 eV/atom

Unit cell a=4.953 b=4.953 c=4.953 alpha=90.00 beta=90.00 gamma=90.00
Positions (direct):
Ag1 0.000 0.000 0.000
Pt1 0.500 0.500 0.500
Cl1 0.000 0.000 0.500
Cl2 0.000 0.500 0.000
Cl3 0.500 0.000 0.000

=====

Entry from the Open Quantum Materials Database: a relaxed AgPtCl6 crystal (PBE).

Computed properties:
space-group type: P-1
energy above the most stable polymorph in this dataset: 0.0000 eV/atom

Unit cell a=6.035 b=6.066 c=6.600 alpha=63.77 beta=89.39 gamma=60.54
Positions (direct):
Ag1 0.000 0.000 0.000
Pt1 0.500 0.000 0.500
Cl1 0.096 0.181 0.264
Cl2 0.270 0.176 0.738
Cl3 0.454 0.452 0.268
Cl4 0.546 0.548 0.732
Cl5 0.730 0.824 0.262
Cl6 0.904 0.819 0.736

=====

Entry from the Open Quantum Materials Database: a relaxed AgPtCl3 crystal (PBE).

Computed properties:
space-group type: R-3
energy above the most stable polymorph in this dataset: 0.0716 eV/atom

Unit cell a=7.129 b=7.129 c=7.129 alpha=55.38 beta=55.38 gamma=55.38
Positions (direct):
Ag1 0.142 0.142 0.142
Ag2 0.858 0.858 0.858
Pt1 0.337 0.337 0.337
Pt2 0.663 0.663 0.663
Cl1 0.071 0.443 0.720
Cl2 0.280 0.929 0.557
Cl3 0.443 0.720 0.071
Cl4 0.557 0.280 0.929
Cl5 0.720 0.071 0.443
Cl6 0.929 0.557 0.280

=====

Entry from the Open Quantum Materials Database: a relaxed AgPtCl3 crystal (PBE).

Computed properties:
space-group type: Pnma
energy above the most stable polymorph in this dataset: 0.1809 eV/atom

Unit cell a=6.681 b=10.459 c=6.647 alpha=90.00 beta=90.00 gamma=90.00
Positions (direct):
Ag1 0.000 0.000 0.000
Ag2 0.000 0.500 0.000
Ag3 0.500 0.000 0.500
Ag4 0.500 0.500 0.500
Pt1 0.025 0.250 0.488
Pt2 0.475 0.750 0.988
Pt3 0.525 0.250 0.012
Pt4 0.975 0.750 0.512
Cl1 0.151 0.750 0.846
Cl2 0.174 0.591 0.343
Cl3 0.174 0.909 0.343
Cl4 0.326 0.091 0.843
Cl5 0.326 0.409 0.843
Cl6 0.349 0.250 0.346
Cl7 0.651 0.750 0.654
Cl8 0.674 0.591 0.157
Cl9 0.674 0.909 0.157
Cl10 0.826 0.091 0.657
Cl11 0.826 0.409 0.657
Cl12 0.849 0.250 0.154

=====

Entry from the Open Quantum Materials Database: a relaxed AgPtCl3 crystal (PBE).

Computed properties:
space-group type: P4mm
energy above the most stable polymorph in this dataset: 0.1967 eV/atom

Unit cell a=4.528 b=4.528 c=6.723 alpha=90.00 beta=90.00 gamma=90.00
Positions (direct):
Ag1 0.000 0.000 0.000
Pt1 0.500 0.500 0.354
Cl1 0.000 0.000 0.651
Cl2 0.000 0.500 0.254
Cl3 0.500 0.000 0.254

=====

Entry from the Open Quantum Materials Database: a relaxed AgPtCl3 crystal (PBE).

Computed properties:
space-group type: Pm-3m
energy above the most stable polymorph in this dataset: 0.1420 eV/atom

Unit cell a=4.882 b=4.882 c=4.882 alpha=90.00 beta=90.00 gamma=90.00
Positions (direct):
Ag1 0.000 0.000 0.000
Pt1 0.500 0.500 0.500
Cl1 0.000 0.500 0.500
Cl2 0.500 0.000 0.500
Cl3 0.500 0.500 0.000

=====

Entry from the Open Quantum Materials Database: a relaxed Ag2PtCl6 crystal (PBE).

Computed properties:
space-group type: P4_2/mnm

Unit cell a=6.110 b=6.110 c=11.597 alpha=90.00 beta=90.00 gamma=90.00
Positions (direct):
Ag1 0.000 0.000 0.159
Ag2 0.000 0.000 0.841
Ag3 0.500 0.500 0.341
Ag4 0.500 0.500 0.659
Pt1 0.000 0.000 0.500
Pt2 0.500 0.500 0.000
Cl1 0.186 0.186 0.351
Cl2 0.186 0.186 0.649
Cl3 0.224 0.224 0.000
Cl4 0.276 0.724 0.500
Cl5 0.314 0.686 0.149
Cl6 0.314 0.686 0.851
Cl7 0.686 0.314 0.149
Cl8 0.686 0.314 0.851
Cl9 0.724 0.276 0.500
Cl10 0.776 0.776 0.000
Cl11 0.814 0.814 0.351
Cl12 0.814 0.814 0.649

=====

| no. | calculated volume (Å³/f.u.) | VASP energy (eV per cell) |
| --- | --- | --- |
| 1 | 241.7 | -35.5 |
| 2 | 240.0 | -19.5 |
| 3 | 97.2 | -27.8 |
| 4 | 303.0 | -30.8 |
| 5 | 105.8 | -62.2 |
| 6 | 121.5 | -11.4 |
| 7 | 182.0 | -22.5 |
| 8 | 114.3 | -30.5 |
| 9 | 116.1 | -58.8 |
| 10 | 137.9 | -14.6 |
| 11 | 116.4 | -14.9 |
| 12 | 216.5 | -53.7 |